This record from Alexandria describes a relaxed structure of InAgSnB2. The functional is PBEsol.

Results
Final energy ... -0.123 hartree per atom
Volume ... 20.352 Å³/atom
ΔH_f (0 K) ... 1582 meV/atom
SG ... P4/mmm (123)
Crystal system ... tetragonal

a = 4.3686 Å, b = 4.3686 Å, c = 5.3320 Å
α = 90.00°, β = 90.00°, γ = 90.00°
Last column: nearest neighbours and their distance in Å.
Fractional coordinates of all 5 atoms:
In (0.0000, 0.0000, 0.0000)  4 B 2.18
Ag (0.0000, 0.0000, 0.5000)  2 In 2.67
Sn (0.5000, 0.5000, 0.5000)  4 Ag 3.09, 8 B 3.45
B (0.0000, 0.5000, 0.0000)  2 In 2.18
B (0.5000, 0.0000, 0.0000)  2 In 2.18

---

This record from Alexandria describes a relaxed structure of RbCoTe2. The functional is PBEsol.

Results
Final energy ... -0.157 hartree per atom
Volume ... 30.259 Å³/atom
Formation energy without anion corrections ... -0.307 eV per atom
SG ... I-42d (122)
Crystal system ... tetragonal

a = 6.8002 Å, b = 6.8002 Å, c = 6.8002 Å
α = 109.56°, β = 109.56°, γ = 109.28°
Last column: nearest neighbours and their distance in Å.
Fractional coordinates of all 8 atoms:
Rb (0.0000, 0.0000, 0.0000)  8 Te 3.63-3.69, 2 Co 3.94
Rb (0.7500, 0.2500, 0.5000)  8 Te 3.63-3.69, 2 Co 3.94
Co (0.2500, 0.7500, 0.5000)  4 Te 2.42
Co (0.5000, 0.5000, 0.0000)  4 Te 2.42
Te (0.2441, 0.6250, 0.1191)  2 Co 2.42
Te (0.3750, 0.4941, 0.6191)  2 Co 2.42
Te (0.5059, 0.1250, 0.8809)  2 Co 2.42
Te (0.8750, 0.7559, 0.3809)  2 Co 2.42

---

This record from Alexandria describes a relaxed structure of Ba2Tl2Bi. The functional is PBEsol.

Results
Final energy ... -0.112 hartree per atom
Volume ... 40.418 Å³/atom
ΔH_f (0 K) ... -270 meV/atom
SG ... I4/mmm (139)
Crystal system ... tetragonal

a = 6.5131 Å, b = 6.5131 Å, c = 6.5131 Å
α = 117.51°, β = 117.51°, γ = 94.37°
Last column: nearest neighbours and their distance in Å.
Fractional coordinates of all 5 atoms:
Ba (0.2500, 0.7500, 0.5000)  4 Tl 3.48
Ba (0.7500, 0.2500, 0.5000)  4 Tl 3.48
Tl (0.1549, 0.1549, 0.0000)  1 Tl 2.74, 1 Bi 3.06
Tl (0.8451, 0.8451, 0.0000)  1 Tl 2.74, 1 Bi 3.06
Bi (0.5000, 0.5000, 0.0000)  2 Tl 3.06

---

Q: Which formula does entry 3 have?
A: Ba2Tl2Bi